Material: Dy2Tc3C2
Method: DFT, GGA-PBE
State: relaxed

abc: 5.1496 5.1496 7.4404
angles: 115.93 115.93 35.65
Closest atoms and distances in Å follow each position.
Atoms (fractional coordinates):
Dy 0.1501 0.1501 0.2813  3 C 2.71, 4 Tc 2.94-2.95
Dy 0.8499 0.8499 0.7187  3 C 2.71, 4 Tc 2.94-2.95
Tc 0.3674 0.3674 0.0620  2 C 2.13
Tc 0.5000 0.5000 0.5000  4 C 2.32
Tc 0.6326 0.6326 0.9380  2 C 2.13
C 0.1354 0.1354 0.7465  4 Tc 2.13-2.32
C 0.8646 0.8646 0.2535  4 Tc 2.13-2.32

Calculated values
formation energy from the elements = 0.0 eV/f.u.
crystal system = monoclinic

Material: SrBe3Hg
Method: DFT, GGA-PBE
State: relaxed

abc: 4.5983 4.5983 4.5983
angles: 90.00 90.00 90.00
Closest atoms and distances in Å follow each position.
Atoms (fractional coordinates):
Sr 0.0000 0.0000 0.0000  12 Be 3.25
Be 0.0000 0.5000 0.5000  2 Hg 2.30
Be 0.5000 0.0000 0.5000  2 Hg 2.30
Be 0.5000 0.5000 0.0000  2 Hg 2.30
Hg 0.5000 0.5000 0.5000  6 Be 2.30

Calculated values
formation energy from the elements = 2.7 eV/f.u.
crystal system = cubic

Material: BeZn2Ni
Method: DFT, GGA-PBE
State: relaxed

abc: 3.5850 3.5850 3.6408
angles: 90.00 90.00 90.00
Closest atoms and distances in Å follow each position.
Atoms (fractional coordinates):
Be 0.0000 0.0000 0.0000  4 Ni 2.53, 8 Zn 2.55
Zn 0.0000 0.5000 0.5000  4 Zn 2.53, 4 Ni 2.55, 4 Be 2.55
Zn 0.5000 0.0000 0.5000  4 Zn 2.53, 4 Ni 2.55, 4 Be 2.55
Ni 0.5000 0.5000 0.0000  4 Be 2.53, 8 Zn 2.55

Calculated values
formation energy from the elements = -0.4 eV/f.u.
crystal system = tetragonal

Material: La3In2I
Method: DFT, GGA-PBE
State: relaxed

abc: 3.7711 3.7711 13.2242
angles: 90.00 90.00 90.00
Closest atoms and distances in Å follow each position.
Atoms (fractional coordinates):
La 0.0000 0.0000 0.0000  8 In 3.47, 4 La 3.77
La 0.0000 0.0000 0.3231  4 In 3.37, 4 I 3.55, 4 La 3.77
La 0.0000 0.0000 0.6769  4 In 3.37, 4 I 3.55, 4 La 3.77
In 0.5000 0.5000 0.1674  8 La 3.37-3.47, 4 In 3.77
In 0.5000 0.5000 0.8326  8 La 3.37-3.47, 4 In 3.77
I 0.5000 0.5000 0.5000  8 La 3.55, 4 I 3.77

Calculated values
energy relative to the elements, uncorrected = -0.6641 eV/atom
crystal system = tetragonal

Material: SnHI2
Method: DFT, GGA-PBE
State: relaxed

abc: 4.0206 4.3464 7.9331
angles: 83.51 85.46 63.34
Closest atoms and distances in Å follow each position.
Atoms (fractional coordinates):
Sn 0.0000 0.0000 0.0000  4 I 3.23-3.29
H 0.5017 0.5022 0.5008  2 I 1.93-1.97
I 0.3700 0.3780 0.2933  1 H 1.97
I 0.6314 0.6253 0.7041  1 H 1.93

Calculated values
crystal system = triclinic

Material: NaPmCdF6
Method: DFT, GGA-PBE
State: relaxed

abc: 5.9192 5.9192 9.5105
angles: 90.00 90.00 120.00
Closest atoms and distances in Å follow each position.
Atoms (fractional coordinates):
Na 0.3333 0.6667 0.2500  6 F 2.34
Na 0.6667 0.3333 0.7500  6 F 2.34
Pm 0.3333 0.6667 0.7500  6 F 2.28
Pm 0.6667 0.3333 0.2500  6 F 2.28
Cd 0.0000 0.0000 0.0000  6 F 2.28
Cd 0.0000 0.0000 0.5000  6 F 2.28
F 0.0084 0.3309 0.6276  1 Pm 2.28, 1 Cd 2.28, 1 Na 2.34
F 0.0084 0.6775 0.8724  1 Pm 2.28, 1 Cd 2.28, 1 Na 2.34
F 0.3225 0.3309 0.8724  1 Pm 2.28, 1 Cd 2.28, 1 Na 2.34
F 0.3225 0.9916 0.6276  1 Pm 2.28, 1 Cd 2.28, 1 Na 2.34
F 0.3309 0.0084 0.1276  1 Pm 2.28, 1 Cd 2.28, 1 Na 2.34
F 0.3309 0.3225 0.3724  1 Pm 2.28, 1 Cd 2.28, 1 Na 2.34
F 0.6691 0.6775 0.6276  1 Pm 2.28, 1 Cd 2.28, 1 Na 2.34
F 0.6691 0.9916 0.8724  1 Pm 2.28, 1 Cd 2.28, 1 Na 2.34
F 0.6775 0.0084 0.3724  1 Pm 2.28, 1 Cd 2.28, 1 Na 2.34
F 0.6775 0.6691 0.1276  1 Pm 2.28, 1 Cd 2.28, 1 Na 2.34
F 0.9916 0.3225 0.1276  1 Pm 2.28, 1 Cd 2.28, 1 Na 2.34
F 0.9916 0.6691 0.3724  1 Pm 2.28, 1 Cd 2.28, 1 Na 2.34

Calculated values
energy relative to the elements, uncorrected = -3.1097 eV/atom
crystal system = trigonal

Material: BaMo2Ru
Method: DFT, GGA-PBE
State: relaxed

abc: 5.7815 5.7815 5.7815
angles: 148.71 123.07 66.41
Closest atoms and distances in Å follow each position.
Atoms (fractional coordinates):
Ba 0.0000 0.0000 0.0000  2 Ba 3.12, 8 Mo 3.17-3.41, 4 Ru 3.18-3.45
Mo 0.2916 0.7916 0.5000  2 Mo 2.51
Mo 0.4952 0.4952 0.0000  2 Mo 2.51, 2 Ru 2.63
Ru 0.7138 0.2138 0.5000  2 Mo 2.63

Calculated values
formation energy from the elements = 4.3 eV/f.u.
crystal system = orthorhombic

Material: Er3Tl3Zn2
Method: DFT, GGA-PBE
State: relaxed

abc: 7.7554 7.7554 3.7401
angles: 90.00 90.00 120.00
Closest atoms and distances in Å follow each position.
Atoms (fractional coordinates):
Er 0.0000 0.3943 0.0000  4 Zn 3.03, 6 Tl 3.27-3.33
Er 0.3943 0.0000 0.0000  4 Zn 3.03, 6 Tl 3.27-3.33
Er 0.6057 0.6057 0.0000  4 Zn 3.03, 6 Tl 3.27-3.33
Tl 0.0000 0.7488 0.5000  2 Zn 2.96, 4 Er 3.27
Tl 0.2512 0.2512 0.5000  2 Zn 2.96, 4 Er 3.27
Tl 0.7488 0.0000 0.5000  2 Zn 2.96, 4 Er 3.27
Zn 0.3333 0.6667 0.5000  3 Tl 2.96, 6 Er 3.03
Zn 0.6667 0.3333 0.5000  3 Tl 2.96, 6 Er 3.03

Calculated values
formation energy from the elements = -2.1 eV/f.u.
crystal system = hexagonal

Result set for raw total energy: -58.8; -10.5; -12.5; -25.8; -10.3; -92.4; -28.6; -25.5 eV per cell, one per record in the order listed.
Result set for DOS at the Fermi energy: 4.5; 2.5; 0.8; 4.8; 1.1; 0.0; 4.4; 7.1 states/eV/cell, one per record in the order listed.